1.
# Pr4ErSn4 PBE optimized geometry
data_Pr4ErSn4
_chemical_formula_sum 'Pr8 Er2 Sn8'
_space_group_name_H-M_alt 'P 42/n'
_space_group_IT_number 86
_cell_length_a 9.521
_cell_length_b 9.521
_cell_length_c 6.530
_cell_angle_alpha 90.00
_cell_angle_beta 90.00
_cell_angle_gamma 90.00
loop_
_space_group_symop_operation_xyz
'x,y,z'
'-x,-y,-z'
'-y,x+1/2,z+1/2'
'y,-x+1/2,-z+1/2'
'-x+1/2,-y+1/2,z'
'x+1/2,y+1/2,-z'
'y+1/2,-x,z+1/2'
'-y+1/2,x,-z+1/2'
loop_
_atom_site_label
_atom_site_fract_x
_atom_site_fract_y
_atom_site_fract_z
Pr1 0.035 0.671 0.112
Er1 0.250 0.250 0.250
Sn1 0.019 0.645 0.604
# D(E_F)	14.20	states/eV per cell
# energy of formation	-48.5	kJ per mole of atoms



2.
# TiMn2OsPd PBE optimized geometry
data_TiMn2OsPd
_chemical_formula_sum 'Ti1 Mn2 Os1 Pd1'
_space_group_name_H-M_alt 'P 4/m m m'
_space_group_IT_number 123
_space_group_name_Hall '-P 4 2'
_cell_length_a 4.606
_cell_length_b 4.606
_cell_length_c 4.882
_cell_angle_alpha 90.00
_cell_angle_beta 90.00
_cell_angle_gamma 90.00
loop_
_atom_site_label
_atom_site_fract_x
_atom_site_fract_y
_atom_site_fract_z
Ti1 0.000 0.000 0.000
Mn1 0.000 0.500 0.500
Os1 0.500 0.500 0.000
Pd1 0.500 0.500 0.500
# D(E_F)	5.73	states/eV per cell
# energy of formation	132.0	kJ per mole of atoms



3.
# SrI2Cl PBE optimized geometry
data_SrI2Cl
_chemical_formula_sum 'Sr4 I8 Cl4'
_space_group_name_H-M_alt 'F m -3 m'
_space_group_IT_number 225
_space_group_name_Hall '-F 4 2 3'
_cell_length_a 8.160
_cell_length_b 8.160
_cell_length_c 8.160
_cell_angle_alpha 90.00
_cell_angle_beta 90.00
_cell_angle_gamma 90.00
loop_
_atom_site_label
_atom_site_fract_x
_atom_site_fract_y
_atom_site_fract_z
Sr1 0.000 0.000 0.000
I1 0.250 0.250 0.250
Cl1 0.000 0.000 0.500
# uncorrected formation energy	-1.04	eV per atom
# D(E_F)	12.76	states/eV per cell



4.
# CaNpTiO6 PBE optimized geometry
data_CaNpTiO6
_chemical_formula_sum 'Ca2 Np2 Ti2 O12'
_space_group_name_H-M_alt 'P -3 1 c'
_space_group_IT_number 163
_space_group_name_Hall '-P 3 2c'
_cell_length_a 5.4117
_cell_length_b 5.4117
_cell_length_c 9.9308
_cell_angle_alpha 90.00
_cell_angle_beta 90.00
_cell_angle_gamma 120.00
loop_
_atom_site_label
_atom_site_fract_x
_atom_site_fract_y
_atom_site_fract_z
Ca1 0.0000 0.0000 0.0000
Np1 0.3333 0.6667 0.2500
Ti1 0.3333 0.6667 0.7500
O1 0.0116 0.3708 0.6425
# uncorrected formation energy	-2.98	eV per atom



Total moment, record by record: 0.00; 7.95; 4.00; 2.00 Bohr magnetons per cell